1.
SrAgOs2 | GGA-PBE | relaxed

Values from the calculation:
- Offset from the most stable computed form: 432 meV/atom
- Energy relative to the elements: 3.61 eV per formula unit

Cell lengths 2.967, 4.820, 5.133 Å; angles 90.00, 90.00, 90.00 degrees
Space group Pmmm (No. 47)
Asymmetric unit:
Sr 0.000 0.000 0.000 [1 per cell]
Ag 0.500 0.500 0.000 [1 per cell]
Os 0.000 0.500 0.500 [1 per cell]
Os 0.500 0.000 0.500 [1 per cell]



2.
SrAgOs3 | GGA-PBE | relaxed

Values from the calculation:
- Offset from the most stable computed form: 0 meV/atom
- Energy relative to the elements: 11.99 eV per formula unit

Cell lengths 4.925, 4.925, 4.925 Å; angles 90.00, 90.00, 90.00 degrees
Space group Pm-3m (No. 221)
Asymmetric unit:
Sr 0.000 0.000 0.000 [1 per cell]
Ag 0.500 0.500 0.500 [1 per cell]
Os 0.000 0.500 0.500 [3 per cell]



3.
Sr2AgOs | GGA-PBE | relaxed

Values from the calculation:
- Energy relative to the elements: 2.29 eV per formula unit

Cell lengths 3.670, 3.670, 8.735 Å; angles 90.00, 90.00, 90.00 degrees
Space group P4mm (No. 99)
Asymmetric unit:
Sr 0.000 0.000 0.000 [1 per cell]
Sr 0.500 0.500 0.425 [1 per cell]
Ag 0.000 0.000 0.658 [1 per cell]
Os 0.500 0.500 0.766 [1 per cell]



4.
Sr2AgOs | GGA-PBE | relaxed

Values from the calculation:
- Energy relative to the elements: 2.54 eV per formula unit

Cell lengths 8.380, 3.091, 8.495 Å; angles 90.00, 95.19, 90.00 degrees
Space group C2/m (No. 12)
Asymmetric unit:
Sr 0.244 0.000 0.220 [4 per cell]
Ag 0.000 0.000 0.500 [2 per cell]
Os 0.000 0.500 0.000 [2 per cell]



5.
SrAg4Os | GGA-PBE | relaxed

Values from the calculation:
- Energy relative to the elements: 2.83 eV per formula unit

Cell lengths 7.838, 7.838, 7.838 Å; angles 90.00, 90.00, 90.00 degrees
Space group F-43m (No. 216)
Asymmetric unit:
Sr 0.000 0.000 0.000 [4 per cell]
Ag 0.124 0.124 0.624 [16 per cell]
Os 0.250 0.250 0.250 [4 per cell]



6.
SrTc2AgOs | GGA-PBE | relaxed

Values from the calculation:
- Energy relative to the elements: 10.38 eV per formula unit

Cell lengths 5.018, 5.018, 4.982 Å; angles 90.00, 90.00, 90.00 degrees
Space group P4/mmm (No. 123)
Asymmetric unit:
Sr 0.000 0.000 0.000 [1 per cell]
Tc 0.000 0.500 0.500 [2 per cell]
Ag 0.500 0.500 0.500 [1 per cell]
Os 0.500 0.500 0.000 [1 per cell]



7.
SrTiAgOs2 | GGA-PBE | relaxed

Values from the calculation:
- Energy relative to the elements: 6.69 eV per formula unit

Cell lengths 4.609, 4.609, 5.484 Å; angles 90.00, 90.00, 90.00 degrees
Space group P4/mmm (No. 123)
Asymmetric unit:
Sr 0.000 0.000 0.000 [1 per cell]
Ti 0.000 0.000 0.500 [1 per cell]
Ag 0.500 0.500 0.000 [1 per cell]
Os 0.000 0.500 0.500 [2 per cell]



8.
SrAgOsW2 | GGA-PBE | relaxed

Values from the calculation:
- Energy relative to the elements: 18.18 eV per formula unit

Cell lengths 4.834, 4.834, 4.775 Å; angles 90.00, 90.00, 90.00 degrees
Space group P4/mmm (No. 123)
Asymmetric unit:
Sr 0.000 0.000 0.000 [1 per cell]
Ag 0.500 0.500 0.500 [1 per cell]
Os 0.000 0.000 0.500 [1 per cell]
W 0.000 0.500 0.000 [2 per cell]



9.
SrZr2AgOs | GGA-PBE | relaxed

Values from the calculation:
- Energy relative to the elements: 12.11 eV per formula unit

Cell lengths 5.115, 5.115, 4.849 Å; angles 90.00, 90.00, 90.00 degrees
Space group P4/mmm (No. 123)
Asymmetric unit:
Sr 0.000 0.000 0.000 [1 per cell]
Zr 0.000 0.500 0.000 [2 per cell]
Ag 0.000 0.000 0.500 [1 per cell]
Os 0.500 0.500 0.500 [1 per cell]



10.
TaAgOs2 | GGA-PBE | relaxed

Values from the calculation:
- Offset from the most stable computed form: 695 meV/atom
- Energy relative to the elements: 3.66 eV per formula unit

Cell lengths 7.286, 7.286, 5.361 Å; angles 90.00, 90.00, 90.00 degrees
Space group I-42d (No. 122)
Asymmetric unit:
Ta 0.000 0.000 0.000 [4 per cell]
Ag 0.000 0.000 0.500 [4 per cell]
Os 0.228 0.250 0.125 [8 per cell]



11.
TaAgOs2 | GGA-PBE | relaxed

Values from the calculation:
- Offset from the most stable computed form: 87 meV/atom
- Energy relative to the elements: 1.23 eV per formula unit

Cell lengths 3.261, 3.261, 6.061 Å; angles 90.00, 90.00, 90.00 degrees
Space group P4/mmm (No. 123)
Asymmetric unit:
Ta 0.000 0.000 0.000 [1 per cell]
Ag 0.000 0.000 0.500 [1 per cell]
Os 0.500 0.500 0.239 [2 per cell]



12.
TaAg2Os | GGA-PBE | relaxed

Values from the calculation:
- Offset from the most stable computed form: 58 meV/atom
- Energy relative to the elements: 1.10 eV per formula unit

Cell lengths 3.110, 4.680, 9.464 Å; angles 90.00, 90.00, 90.00 degrees
Space group Cmm2 (No. 35)
Asymmetric unit:
Ta 0.000 0.000 0.000 [2 per cell]
Ag 0.000 0.000 0.520 [2 per cell]
Ag 0.000 0.500 0.262 [2 per cell]
Os 0.000 0.500 0.779 [2 per cell]



13.
TaAg2Os | GGA-PBE | relaxed

Values from the calculation:
- Offset from the most stable computed form: 586 meV/atom
- Energy relative to the elements: 3.21 eV per formula unit

Cell lengths 6.433, 6.433, 6.433 Å; angles 90.00, 90.00, 90.00 degrees
Space group Fm-3m (No. 225)
Asymmetric unit:
Ta 0.000 0.000 0.000 [4 per cell]
Ag 0.250 0.250 0.250 [8 per cell]
Os 0.000 0.000 0.500 [4 per cell]



14.
TaAg2Os | GGA-PBE | relaxed

Values from the calculation:
- Offset from the most stable computed form: 216 meV/atom
- Energy relative to the elements: 1.73 eV per formula unit

Cell lengths 9.365, 2.738, 5.281 Å; angles 90.00, 96.77, 90.00 degrees
Space group Cm (No. 8)
Asymmetric unit:
Ta 0.000 0.000 0.000 [2 per cell]
Ag 0.004 0.500 0.508 [2 per cell]
Ag 0.253 0.500 0.290 [2 per cell]
Os 0.247 0.000 0.796 [2 per cell]



15.
TaAgOs2 | GGA-PBE | relaxed

Values from the calculation:
- Offset from the most stable computed form: 193 meV/atom
- Energy relative to the elements: 1.65 eV per formula unit

Cell lengths 2.933, 4.595, 9.814 Å; angles 90.00, 90.00, 90.00 degrees
Space group Imm2 (No. 44)
Asymmetric unit:
Ta 0.000 0.000 0.000 [2 per cell]
Ag 0.000 0.500 0.789 [2 per cell]
Os 0.000 0.000 0.552 [2 per cell]
Os 0.000 0.500 0.265 [2 per cell]



16.
Ta2AgOs | GGA-PBE | relaxed

Values from the calculation:
- Offset from the most stable computed form: 59 meV/atom
- Energy relative to the elements: 0.51 eV per formula unit

Cell lengths 3.023, 4.628, 4.826 Å; angles 90.00, 90.00, 90.00 degrees
Space group Pmm2 (No. 25)
Asymmetric unit:
Ta 0.000 0.000 0.000 [1 per cell]
Ta 0.000 0.500 0.402 [1 per cell]
Ag 0.500 0.500 0.881 [1 per cell]
Os 0.500 0.000 0.490 [1 per cell]



17.
TaAgOs3 | GGA-PBE | relaxed

Values from the calculation:
- Offset from the most stable computed form: 0 meV/atom
- Energy relative to the elements: 11.07 eV per formula unit

Cell lengths 4.773, 4.773, 4.773 Å; angles 90.00, 90.00, 90.00 degrees
Space group Pm-3m (No. 221)
Asymmetric unit:
Ta 0.000 0.000 0.000 [1 per cell]
Ag 0.500 0.500 0.500 [1 per cell]
Os 0.000 0.000 0.500 [3 per cell]



18.
TaAg2Os | GGA-PBE | relaxed

Values from the calculation:
- Offset from the most stable computed form: 436 meV/atom
- Energy relative to the elements: 2.61 eV per formula unit

Cell lengths 2.736, 2.736, 8.929 Å; angles 90.00, 90.00, 90.00 degrees
Space group P4/mmm (No. 123)
Asymmetric unit:
Ta 0.000 0.000 0.000 [1 per cell]
Ag 0.500 0.500 0.256 [2 per cell]
Os 0.000 0.000 0.500 [1 per cell]



19.
Ta2AgOs | GGA-PBE | relaxed

Values from the calculation:
- Offset from the most stable computed form: 262 meV/atom
- Energy relative to the elements: 1.33 eV per formula unit

Cell lengths 9.367, 2.934, 5.039 Å; angles 90.00, 100.48, 90.00 degrees
Space group C2/m (No. 12)
Asymmetric unit:
Ta 0.246 0.000 0.245 [4 per cell]
Ag 0.000 0.000 0.500 [2 per cell]
Os 0.000 0.500 0.000 [2 per cell]



20.
TaAgOs2 | GGA-PBE | relaxed

Values from the calculation:
- Offset from the most stable computed form: 108 meV/atom
- Energy relative to the elements: 1.31 eV per formula unit

Cell lengths 3.922, 3.922, 8.187 Å; angles 90.00, 90.00, 90.00 degrees
Space group I-4m2 (No. 119)
Asymmetric unit:
Ta 0.000 0.000 0.000 [2 per cell]
Ag 0.000 0.500 0.750 [2 per cell]
Os 0.000 0.000 0.500 [2 per cell]
Os 0.000 0.500 0.250 [2 per cell]



21.
TaAgOs2 | GGA-PBE | relaxed

Values from the calculation:
- Offset from the most stable computed form: 145 meV/atom
- Energy relative to the elements: 1.46 eV per formula unit

Cell lengths 2.793, 4.227, 5.537 Å; angles 90.00, 100.33, 90.00 degrees
Space group P2/m (No. 10)
Asymmetric unit:
Ta 0.000 0.000 0.000 [1 per cell]
Ag 0.000 0.000 0.500 [1 per cell]
Os 0.405 0.500 0.251 [2 per cell]



22.
TaAg2Os | GGA-PBE | relaxed

Values from the calculation:
- Offset from the most stable computed form: 154 meV/atom
- Energy relative to the elements: 1.48 eV per formula unit

Cell lengths 4.140, 4.140, 7.710 Å; angles 90.00, 90.00, 90.00 degrees
Space group I-4m2 (No. 119)
Asymmetric unit:
Ta 0.000 0.000 0.000 [2 per cell]
Ag 0.000 0.000 0.500 [2 per cell]
Ag 0.000 0.500 0.750 [2 per cell]
Os 0.000 0.500 0.250 [2 per cell]



23.
Ta2AgOs | GGA-PBE | relaxed

Values from the calculation:
- Offset from the most stable computed form: 0 meV/atom
- Energy relative to the elements: 0.28 eV per formula unit

Cell lengths 2.987, 2.987, 7.709 Å; angles 90.00, 90.00, 90.00 degrees
Space group P4/mmm (No. 123)
Asymmetric unit:
Ta 0.000 0.000 0.226 [2 per cell]
Ag 0.500 0.500 0.500 [1 per cell]
Os 0.500 0.500 0.000 [1 per cell]



24.
TaAgOs2 | GGA-PBE | relaxed

Values from the calculation:
- Offset from the most stable computed form: 350 meV/atom
- Energy relative to the elements: 2.28 eV per formula unit

Cell lengths 6.354, 6.354, 6.354 Å; angles 90.00, 90.00, 90.00 degrees
Space group F-43m (No. 216)
Asymmetric unit:
Ta 0.000 0.000 0.000 [4 per cell]
Ag 0.250 0.250 0.750 [4 per cell]
Os 0.000 0.000 0.500 [4 per cell]
Os 0.250 0.250 0.250 [4 per cell]



25.
Ta2AgOs | GGA-PBE | relaxed

Values from the calculation:
- Offset from the most stable computed form: 34 meV/atom
- Energy relative to the elements: 0.41 eV per formula unit

Cell lengths 2.996, 3.923, 5.766 Å; angles 90.00, 90.00, 90.00 degrees
Space group Pmmm (No. 47)
Asymmetric unit:
Ta 0.000 0.000 0.232 [2 per cell]
Ag 0.500 0.500 0.500 [1 per cell]
Os 0.500 0.500 0.000 [1 per cell]



26.
TaAgOs2 | GGA-PBE | relaxed

Values from the calculation:
- Offset from the most stable computed form: 15 meV/atom
- Energy relative to the elements: 0.94 eV per formula unit

Cell lengths 4.044, 4.044, 3.824 Å; angles 90.00, 90.00, 90.00 degrees
Space group P4/mmm (No. 123)
Asymmetric unit:
Ta 0.000 0.000 0.000 [1 per cell]
Ag 0.500 0.500 0.000 [1 per cell]
Os 0.000 0.500 0.500 [2 per cell]



27.
TaAg2Os | GGA-PBE | relaxed

Values from the calculation:
- Offset from the most stable computed form: 44 meV/atom
- Energy relative to the elements: 1.04 eV per formula unit

Cell lengths 2.8480, 2.8480, 28.9710 Å; angles 90.00, 90.00, 120.00 degrees
Space group R3m (No. 160, hexagonal axes)
Asymmetric unit:
Ta 0.0000 0.0000 0.0000 [3 per cell]
Ag 0.0000 0.0000 0.5054 [3 per cell]
Ag 0.0000 0.0000 0.7536 [3 per cell]
Os 0.0000 0.0000 0.2563 [3 per cell]



28.
TaAg2Os | GGA-PBE | relaxed

Values from the calculation:
- Offset from the most stable computed form: 0 meV/atom
- Energy relative to the elements: 0.86 eV per formula unit

Cell lengths 3.101, 3.101, 7.364 Å; angles 90.00, 90.00, 90.00 degrees
Space group P4mm (No. 99)
Asymmetric unit:
Ta 0.000 0.000 0.000 [1 per cell]
Ag 0.000 0.000 0.538 [1 per cell]
Ag 0.500 0.500 0.285 [1 per cell]
Os 0.500 0.500 0.811 [1 per cell]



29.
TaAg2Os | GGA-PBE | relaxed

Values from the calculation:
- Offset from the most stable computed form: 97 meV/atom
- Energy relative to the elements: 1.25 eV per formula unit

Cell lengths 3.796, 3.812, 9.171 Å; angles 90.00, 90.00, 90.00 degrees
Space group Immm (No. 71)
Asymmetric unit:
Ta 0.000 0.000 0.000 [2 per cell]
Ag 0.000 0.500 0.250 [4 per cell]
Os 0.000 0.000 0.500 [2 per cell]



30.
Ta2AgOs | GGA-PBE | relaxed

Values from the calculation:
- Offset from the most stable computed form: 110 meV/atom
- Energy relative to the elements: 0.72 eV per formula unit

Cell lengths 9.484, 3.032, 4.855 Å; angles 90.00, 102.74, 90.00 degrees
Space group Cm (No. 8)
Asymmetric unit:
Ta 0.000 0.000 0.000 [2 per cell]
Ta 0.241 0.000 0.708 [2 per cell]
Ag 0.486 0.000 0.483 [2 per cell]
Os 0.236 0.500 0.208 [2 per cell]